# PrMg2Cu2

A geometry-optimized PrMg2Cu2 structure (PBE-GGA, Alexandria). Values from VASP.

```
&SYSTEM
  ibrav = 0, nat = 10, ntyp = 3
/
ATOMIC_SPECIES
Pr 140.91 Pr.upf
Cu 63.55 Cu.upf
Mg 24.30 Mg.upf
CELL_PARAMETERS angstrom
-2.161 3.394 -0.960
-3.509 -1.373 3.043
5.822 5.688 7.003
ATOMIC_POSITIONS crystal
Pr 0.250 0.692 0.242
Pr 0.750 0.308 0.758
Cu 0.750 0.632 0.021
Mg 0.750 0.747 0.498
Mg 0.250 0.849 0.899
Mg 0.750 0.151 0.101
Cu 0.750 0.203 0.347
Mg 0.250 0.253 0.502
Cu 0.250 0.368 0.979
Cu 0.250 0.797 0.653
```

Computed properties:
The total magnetization comes out at 0.0 Bohr magnetons per cell. As for the space group: P2_1/m, No. 11. Its final energy is -3.3374 eV per atom. Its crystal system is monoclinic. The calculation puts the energy of formation at -10.2 kJ per mole of atoms.